VASP calculation (GGA-PBE) on an optimized crystal structure of TlOs2Cl.

Unit cell a=6.8599 b=6.8599 c=6.8599 alpha=156.08 beta=143.31 gamma=44.28
With the nearest neighbours (Å) after each atom.
Fractional positions:
Tl 0.0000 0.0000 0.0000  2 Tl 2.84, 4 Os 2.89
Os 0.6015 0.6015 0.0000  2 Os 2.53
Os 0.7660 0.2660 0.5000  2 Os 2.53, 4 Cl 2.61
Cl 0.2935 0.7935 0.5000  4 Os 2.61, 2 Cl 2.84

Output
* D(E_F): 3.15 states/eV per cell
* energy: -22.36 eV per formula unit
* excess energy over the best structure of this formula in the dataset: 16.44 kcal/mol of atoms
* uncorrected formation energy: 1077 meV per atom
* symmetry: Imm2

VASP calculation (GGA-PBE) on an optimized crystal structure of TlOsCl4.

Unit cell a=6.0538 b=6.0538 c=6.0538 alpha=60.00 beta=60.00 gamma=60.00
With the nearest neighbours (Å) after each atom.
Fractional positions:
Tl 0.0000 0.0000 0.0000  12 Cl 3.55, 4 Os 3.71
Os 0.2500 0.2500 0.2500  12 Cl 3.55, 4 Tl 3.71
Cl 0.1260 0.6247 0.6247  6 Cl 3.02-3.04
Cl 0.6247 0.1260 0.6247  6 Cl 3.02-3.04
Cl 0.6247 0.6247 0.1260  6 Cl 3.02-3.04
Cl 0.6247 0.6247 0.6247  6 Cl 3.02-3.04

Output
* D(E_F): 6.89 states/eV per cell
* energy: -14.19 eV per formula unit
* excess energy over the best structure of this formula in the dataset: 37.71 kcal/mol of atoms
* uncorrected formation energy: 1132 meV per atom
* symmetry: F-43m

Which of these has the highest excess energy over the best structure of this formula in the dataset?
TlOsCl4

excess energy over the best structure of this formula in the dataset of number 2 (TlOsCl4)?
37.71 kcal/mol of atoms